The following is a DFT calculation (PBE-GGA) of an optimized crystal structure of ZrRh2Se.

Unit cell a=5.930 b=5.930 c=5.930 alpha=38.54 beta=38.54 gamma=38.54
Sites, in units of the cell vectors:
Rh (0.993, 0.993, 0.993)
Rh (0.244, 0.244, 0.244)
Se (0.516, 0.516, 0.516)
Zr (0.748, 0.748, 0.748)

Output
Fermi-level density of states, states/eV per cell: 3.83
Theoretical density, g cm⁻³: 8.58
Total DFT energy (no corrections), eV/f.u.: -28.0
Total moment, μB per cell: 0.00